Below is an optimized crystal structure of PaCd2NiO6, with properties calculated at the GGA+U level. Values from VASP.

Quantum ESPRESSO input file:
```
&SYSTEM
  ibrav = 0, nat = 10, ntyp = 4
/
ATOMIC_SPECIES
O 16.00 O.upf
Cd 112.41 Cd.upf
Pa 231.04 Pa.upf
Ni 58.69 Ni.upf
ATOMIC_POSITIONS crystal
O 0.1556 0.4794 0.7483
O 0.9212 0.5750 0.3105
O 0.4767 0.1530 0.3548
O 0.1558 0.0127 0.2149
O 0.7111 0.0572 0.7927
O 0.4765 0.6197 0.8881
Cd 0.1045 0.0638 0.7992
Cd 0.5278 0.5686 0.3039
Pa 0.8162 0.8162 0.5515
Ni 0.3163 0.3161 0.0514
CELL_PARAMETERS angstrom
5.4777 -0.1229 -0.0805
2.6352 4.9963 0.0216
2.6301 1.6985 4.7020
```

Calculated values
For the total energy, the calculation gives -0.4518 Ry/atom. As for the space-group type: C2/m (12). As for the density: 7.76 Mg/m³. For the total moment, the calculation gives 0.999 μB/f.u.